# 1
A crystal of ZnSiAs relaxed with PBEsol. Source: the Alexandria database, functional meta-GGA SCAN.

Volume ... 19.37 A^3/atom
Electronic total energy ... -14.040 eV/atom
Uncorrected formation energy ... 534 meV per atom

a = 4.3477 Å, b = 4.3477 Å, c = 4.3477 Å
α = 60.00°, β = 60.00°, γ = 60.00°
Sites, in units of the cell vectors:
As 0.2500 0.2500 0.2500
Si 0.0000 0.0000 0.0000
Zn 0.5000 0.5000 0.5000

***

# 2
A crystal of FeSiSn2I relaxed with PBEsol. Source: the Alexandria database, functional meta-GGA SCAN.

Volume ... 33.60 A^3/atom
Electronic total energy ... -25.560 eV/atom
Uncorrected formation energy ... 1786 meV per atom

a = 5.2167 Å, b = 5.6747 Å, c = 5.6747 Å
α = 90.00°, β = 90.00°, γ = 90.00°
Last column: magnetic moment on the atom in μB.
Sites, in units of the cell vectors:
I 0.0000 0.0000 0.0000  -0.01
Si 0.5000 0.0000 0.0000  -0.04
Sn 0.0000 0.0000 0.5000  -0.04
Sn 0.0000 0.5000 0.0000  -0.04
Fe 0.5000 0.5000 0.5000  3.37

***

# 3
A crystal of TlFeC2 relaxed with PBEsol. Source: the Alexandria database, functional meta-GGA SCAN.

Volume ... 15.85 A^3/atom
Electronic total energy ... -26.652 eV/atom
Calculated formation energy ... 1.0201 eV per atom

a = 5.6391 Å, b = 5.6391 Å, c = 5.6391 Å
α = 60.00°, β = 60.00°, γ = 60.00°
Sites, in units of the cell vectors:
C 0.1250 0.1250 0.6250
C 0.1250 0.1250 0.1250
C 0.6250 0.1250 0.1250
C 0.1250 0.6250 0.1250
Tl 0.7500 0.7500 0.7500
Tl 0.5000 0.5000 0.5000
Fe 0.2500 0.2500 0.2500
Fe 0.0000 0.0000 0.0000

***

# 4
A crystal of ZnMoCl2 relaxed with PBEsol. Source: the Alexandria database, functional meta-GGA SCAN.

Volume ... 18.46 A^3/atom
Electronic total energy ... -16.000 eV/atom
Uncorrected formation energy ... 89 meV per atom

a = 2.9771 Å, b = 2.9771 Å, c = 9.7724 Å
α = 81.24°, β = 81.24°, γ = 60.00°
Sites, in units of the cell vectors:
Mo 0.0000 0.0000 0.0000
Zn 0.5000 0.5000 0.5000
Cl 0.9224 0.9224 0.2328
Cl 0.0776 0.0776 0.7672